Entry 1:
An optimized crystal structure of GdNiRh. Source: Alexandria, functional PBE.

Properties
SG = No. 107
Formation enthalpy at 0 K = -80.3 kJ/mol of formula units

Geometry as CIF:
```
data_GdNiRh
_chemical_formula_sum 'Gd1 Ni1 Rh1'
_space_group_name_H-M_alt 'P 1'
_space_group_IT_number 1
_space_group_name_Hall 'P 1'
_cell_length_a 3.4011
_cell_length_b 3.4011
_cell_length_c 5.2164
_cell_angle_alpha 109.03
_cell_angle_beta 109.03
_cell_angle_gamma 90.00
loop_
_atom_site_label
_atom_site_type_symbol
_atom_site_fract_x
_atom_site_fract_y
_atom_site_fract_z
Ni1 Ni 0.6497 0.6497 0.2995
Gd1 Gd 0.9489 0.9489 0.8978
Rh1 Rh 0.2513 0.2513 0.5027
```


Entry 2:
An optimized crystal structure of GdNiRh. Source: Alexandria, functional PBE.

Properties
SG = No. 187
Formation enthalpy at 0 K = -150.5 kJ/mol of formula units

Geometry as CIF:
```
data_GdNiRh
_chemical_formula_sum 'Gd1 Ni1 Rh1'
_space_group_name_H-M_alt 'P 1'
_space_group_IT_number 1
_space_group_name_Hall 'P 1'
_cell_length_a 3.8317
_cell_length_b 4.1377
_cell_length_c 4.1377
_cell_angle_alpha 120.00
_cell_angle_beta 90.00
_cell_angle_gamma 90.00
loop_
_atom_site_label
_atom_site_type_symbol
_atom_site_fract_x
_atom_site_fract_y
_atom_site_fract_z
Ni1 Ni 0.1666 0.3333 0.6667
Gd1 Gd 0.6667 0.6667 0.3333
Rh1 Rh 0.1667 0.0000 0.0000
```


Entry 3:
An optimized crystal structure of GdNiRh2. Source: Alexandria, functional PBE.

Properties
SG = No. 123
Formation enthalpy at 0 K = -141.0 kJ/mol of formula units

Geometry as CIF:
```
data_GdNiRh2
_chemical_formula_sum 'Gd1 Ni1 Rh2'
_space_group_name_H-M_alt 'P 1'
_space_group_IT_number 1
_space_group_name_Hall 'P 1'
_cell_length_a 3.9489
_cell_length_b 4.0545
_cell_length_c 4.0545
_cell_angle_alpha 90.00
_cell_angle_beta 90.00
_cell_angle_gamma 90.00
loop_
_atom_site_label
_atom_site_type_symbol
_atom_site_fract_x
_atom_site_fract_y
_atom_site_fract_z
Ni1 Ni 0.5000 0.0000 0.0000
Gd1 Gd 0.5000 0.5000 0.5000
Rh1 Rh 0.0000 0.0000 0.5000
Rh2 Rh 0.0000 0.5000 0.0000
```


Entry 4:
An optimized crystal structure of GdNiSbRh. Source: Alexandria, functional PBE.

Properties
SG = No. 216
ΔE_f (raw) = -2.20 eV per formula unit

Geometry as CIF:
```
data_GdNiSbRh
_chemical_formula_sum 'Gd1 Ni1 Sb1 Rh1'
_space_group_name_H-M_alt 'P 1'
_space_group_IT_number 1
_space_group_name_Hall 'P 1'
_cell_length_a 4.6905
_cell_length_b 4.6905
_cell_length_c 4.6905
_cell_angle_alpha 60.00
_cell_angle_beta 60.00
_cell_angle_gamma 60.00
loop_
_atom_site_label
_atom_site_type_symbol
_atom_site_fract_x
_atom_site_fract_y
_atom_site_fract_z
Sb1 Sb 0.2500 0.2500 0.2500
Gd1 Gd 0.7500 0.7500 0.7500
Rh1 Rh 0.0000 0.0000 0.0000
Ni1 Ni 0.5000 0.5000 0.5000
```


Entry 5:
An optimized crystal structure of GdNiSnRh. Source: Alexandria, functional PBE.

Properties
SG = No. 216
Formation enthalpy at 0 K = -218.1 kJ/mol of formula units

Geometry as CIF:
```
data_GdNiSnRh
_chemical_formula_sum 'Gd1 Ni1 Sn1 Rh1'
_space_group_name_H-M_alt 'P 1'
_space_group_IT_number 1
_space_group_name_Hall 'P 1'
_cell_length_a 4.6919
_cell_length_b 4.6919
_cell_length_c 4.6919
_cell_angle_alpha 60.00
_cell_angle_beta 60.00
_cell_angle_gamma 60.00
loop_
_atom_site_label
_atom_site_type_symbol
_atom_site_fract_x
_atom_site_fract_y
_atom_site_fract_z
Ni1 Ni 0.5000 0.5000 0.5000
Gd1 Gd 0.7500 0.7500 0.7500
Rh1 Rh 0.0000 0.0000 0.0000
Sn1 Sn 0.2500 0.2500 0.2500
```


Entry 6:
An optimized crystal structure of TbGdNiRh. Source: Alexandria, functional PBE.

Properties
SG = No. 216
Formation enthalpy at 0 K = -225.4 kJ/mol of formula units

Geometry as CIF:
```
data_TbGdNiRh
_chemical_formula_sum 'Tb1 Gd1 Ni1 Rh1'
_space_group_name_H-M_alt 'P 1'
_space_group_IT_number 1
_space_group_name_Hall 'P 1'
_cell_length_a 4.8580
_cell_length_b 4.8580
_cell_length_c 4.8580
_cell_angle_alpha 60.00
_cell_angle_beta 60.00
_cell_angle_gamma 60.00
loop_
_atom_site_label
_atom_site_type_symbol
_atom_site_fract_x
_atom_site_fract_y
_atom_site_fract_z
Rh1 Rh 0.7500 0.7500 0.7500
Gd1 Gd 0.5000 0.5000 0.5000
Tb1 Tb 0.0000 0.0000 0.0000
Ni1 Ni 0.2500 0.2500 0.2500
```


Entry 7:
An optimized crystal structure of GdThNiRh. Source: Alexandria, functional PBE.

Properties
SG = No. 216
Formation enthalpy at 0 K = -205.5 kJ/mol of formula units

Geometry as CIF:
```
data_GdThNiRh
_chemical_formula_sum 'Gd1 Th1 Ni1 Rh1'
_space_group_name_H-M_alt 'P 1'
_space_group_IT_number 1
_space_group_name_Hall 'P 1'
_cell_length_a 4.9491
_cell_length_b 4.9491
_cell_length_c 4.9491
_cell_angle_alpha 60.00
_cell_angle_beta 60.00
_cell_angle_gamma 60.00
loop_
_atom_site_label
_atom_site_type_symbol
_atom_site_fract_x
_atom_site_fract_y
_atom_site_fract_z
Ni1 Ni 0.2500 0.2500 0.2500
Gd1 Gd 0.5000 0.5000 0.5000
Rh1 Rh 0.7500 0.7500 0.7500
Th1 Th 0.0000 0.0000 0.0000
```


Entry 8:
An optimized crystal structure of GdTmNiRh. Source: Alexandria, functional PBE.

Properties
SG = No. 216
Formation enthalpy at 0 K = -242.1 kJ/mol of formula units

Geometry as CIF:
```
data_GdTmNiRh
_chemical_formula_sum 'Gd1 Tm1 Ni1 Rh1'
_space_group_name_H-M_alt 'P 1'
_space_group_IT_number 1
_space_group_name_Hall 'P 1'
_cell_length_a 4.8136
_cell_length_b 4.8136
_cell_length_c 4.8136
_cell_angle_alpha 60.00
_cell_angle_beta 60.00
_cell_angle_gamma 60.00
loop_
_atom_site_label
_atom_site_type_symbol
_atom_site_fract_x
_atom_site_fract_y
_atom_site_fract_z
Gd1 Gd 0.0000 0.0000 0.0000
Ni1 Ni 0.2500 0.2500 0.2500
Tm1 Tm 0.5000 0.5000 0.5000
Rh1 Rh 0.7500 0.7500 0.7500
```


Entry 9:
An optimized crystal structure of GdYNiRh. Source: Alexandria, functional PBE.

Properties
SG = No. 216
Formation enthalpy at 0 K = -224.5 kJ/mol of formula units

Geometry as CIF:
```
data_GdYNiRh
_chemical_formula_sum 'Gd1 Y1 Ni1 Rh1'
_space_group_name_H-M_alt 'P 1'
_space_group_IT_number 1
_space_group_name_Hall 'P 1'
_cell_length_a 4.8563
_cell_length_b 4.8563
_cell_length_c 4.8563
_cell_angle_alpha 60.00
_cell_angle_beta 60.00
_cell_angle_gamma 60.00
loop_
_atom_site_label
_atom_site_type_symbol
_atom_site_fract_x
_atom_site_fract_y
_atom_site_fract_z
Y1 Y 0.7500 0.7500 0.7500
Ni1 Ni 0.0000 0.0000 0.0000
Gd1 Gd 0.2500 0.2500 0.2500
Rh1 Rh 0.5000 0.5000 0.5000
```


Entry 10:
An optimized crystal structure of GdZnNiRh. Source: Alexandria, functional PBE.

Properties
SG = No. 216
Formation enthalpy at 0 K = -158.9 kJ/mol of formula units

Geometry as CIF:
```
data_GdZnNiRh
_chemical_formula_sum 'Gd1 Zn1 Ni1 Rh1'
_space_group_name_H-M_alt 'P 1'
_space_group_IT_number 1
_space_group_name_Hall 'P 1'
_cell_length_a 4.5531
_cell_length_b 4.5531
_cell_length_c 4.5531
_cell_angle_alpha 60.00
_cell_angle_beta 60.00
_cell_angle_gamma 60.00
loop_
_atom_site_label
_atom_site_type_symbol
_atom_site_fract_x
_atom_site_fract_y
_atom_site_fract_z
Ni1 Ni 0.2500 0.2500 0.2500
Zn1 Zn 0.0000 0.0000 0.0000
Gd1 Gd 0.5000 0.5000 0.5000
Rh1 Rh 0.7500 0.7500 0.7500
```


Entry 11:
An optimized crystal structure of GdZrNiRh. Source: Alexandria, functional PBE.

Properties
SG = No. 216
Formation enthalpy at 0 K = -187.0 kJ/mol of formula units

Geometry as CIF:
```
data_GdZrNiRh
_chemical_formula_sum 'Gd1 Zr1 Ni1 Rh1'
_space_group_name_H-M_alt 'P 1'
_space_group_IT_number 1
_space_group_name_Hall 'P 1'
_cell_length_a 4.7426
_cell_length_b 4.7426
_cell_length_c 4.7426
_cell_angle_alpha 60.00
_cell_angle_beta 60.00
_cell_angle_gamma 60.00
loop_
_atom_site_label
_atom_site_type_symbol
_atom_site_fract_x
_atom_site_fract_y
_atom_site_fract_z
Ni1 Ni 0.2500 0.2500 0.2500
Gd1 Gd 0.0000 0.0000 0.0000
Rh1 Rh 0.7500 0.7500 0.7500
Zr1 Zr 0.5000 0.5000 0.5000
```


Entry 12:
An optimized crystal structure of GdNi4Ru. Source: Alexandria, functional PBE.

Properties
SG = No. 216
Formation enthalpy at 0 K = -50.7 kJ/mol of formula units

Geometry as CIF:
```
data_GdNi4Ru
_chemical_formula_sum 'Gd1 Ni4 Ru1'
_space_group_name_H-M_alt 'P 1'
_space_group_IT_number 1
_space_group_name_Hall 'P 1'
_cell_length_a 4.8995
_cell_length_b 4.8995
_cell_length_c 4.8995
_cell_angle_alpha 60.00
_cell_angle_beta 60.00
_cell_angle_gamma 60.00
loop_
_atom_site_label
_atom_site_type_symbol
_atom_site_fract_x
_atom_site_fract_y
_atom_site_fract_z
Ru1 Ru 0.2500 0.2500 0.2500
Gd1 Gd 0.0000 0.0000 0.0000
Ni1 Ni 0.6241 0.6241 0.1278
Ni2 Ni 0.6241 0.1278 0.6241
Ni3 Ni 0.6241 0.6241 0.6241
Ni4 Ni 0.1278 0.6241 0.6241
```